# 1
Computed, not measured: a relaxed Ac6La3Nd crystal at the PBE level of DFT.

Unit cell a=14.2419 b=3.8591 c=15.5188 alpha=90.00 beta=100.33 gamma=90.00
Last column: nearest neighbours and their distance in Å.
Positions (direct):
Ac: 0.0029 0.2500 0.3139  4 La 3.64-3.71, 7 Ac 3.86-4.01
Ac: 0.1538 0.2500 0.8798  4 La 3.72-3.90, 8 Ac 3.86-3.93
Ac: 0.2339 0.7500 0.2979  3 La 3.78-3.98, 2 Nd 3.82, 7 Ac 3.83-4.10
Ac: 0.2827 0.7500 0.7136  3 La 3.60-3.73, 1 Nd 3.64, 5 Ac 3.86-4.01
Ac: 0.3111 0.7500 0.0739  5 La 3.63-4.00, 5 Ac 3.83-3.92, 2 Nd 3.96
Ac: 0.3773 0.2500 0.5155  8 Ac 3.86-4.10, 2 La 4.04, 3 Nd 4.09-4.10
Ac: 0.6227 0.7500 0.4845  8 Ac 3.86-4.10, 2 La 4.04, 3 Nd 4.09-4.10
Ac: 0.6889 0.2500 0.9261  5 La 3.63-4.00, 5 Ac 3.83-3.92, 2 Nd 3.96
Ac: 0.7173 0.2500 0.2864  3 La 3.60-3.73, 1 Nd 3.64, 5 Ac 3.86-4.01
Ac: 0.7661 0.2500 0.7021  3 La 3.78-3.98, 2 Nd 3.82, 7 Ac 3.83-4.10
Ac: 0.8462 0.7500 0.1202  4 La 3.72-3.90, 8 Ac 3.86-3.93
Ac: 0.9971 0.7500 0.6861  4 La 3.64-3.71, 7 Ac 3.86-4.01
La: 0.0781 0.2500 0.0973  8 Ac 3.71-3.98, 4 La 3.86-3.92
La: 0.1261 0.7500 0.5038  5 Ac 3.60-3.78, 2 La 3.86
La: 0.4301 0.2500 0.8950  6 Ac 3.63-4.00, 2 Nd 3.84, 4 La 3.86-4.00
La: 0.5699 0.7500 0.1050  6 Ac 3.63-4.00, 2 Nd 3.84, 4 La 3.86-4.00
La: 0.8739 0.2500 0.4962  5 Ac 3.60-3.78, 2 La 3.86
La: 0.9219 0.7500 0.9027  8 Ac 3.71-3.98, 4 La 3.86-3.92
Nd: 0.4600 0.2500 0.2763  5 Ac 3.64-3.96, 2 La 3.84, 2 Nd 3.86
Nd: 0.5400 0.7500 0.7237  5 Ac 3.64-3.96, 2 La 3.84, 2 Nd 3.86

**D(E_F)**: 33.09 states/eV per cell
**Energy relative to the elements**: 0.619 eV per formula unit
**Crystal system**: monoclinic
**Symmetry**: No. 11
**Relative energy among the computed polymorphs**: 0 meV/atom
**Total magnetization**: 0.0 μB per cell


# 2
Computed, not measured: a relaxed Ac2La6Nd3 crystal at the PBE level of DFT.

Unit cell a=6.5503 b=8.3930 c=8.4274 alpha=107.51 beta=104.90 gamma=97.14
Last column: nearest neighbours and their distance in Å.
Positions (direct):
Ac: 0.2263 0.0481 0.4051  3 Nd 3.74-3.81, 7 La 3.76-3.87, 2 Ac 3.82
Ac: 0.7737 0.9519 0.5949  3 Nd 3.74-3.81, 7 La 3.76-3.87, 2 Ac 3.82
La: 0.0433 0.4151 0.6829  5 La 3.69-3.82, 5 Nd 3.74-3.79, 2 Ac 3.80-3.83
La: 0.1379 0.2332 0.0447  6 La 3.69-3.86, 4 Nd 3.70-3.79, 2 Ac 3.76-3.77
La: 0.3189 0.8614 0.7793  6 La 3.70-3.82, 3 Nd 3.71-3.81, 3 Ac 3.78-3.87
La: 0.6811 0.1386 0.2207  6 La 3.70-3.82, 3 Nd 3.71-3.81, 3 Ac 3.78-3.87
La: 0.8621 0.7668 0.9553  6 La 3.69-3.86, 4 Nd 3.70-3.79, 2 Ac 3.76-3.77
La: 0.9567 0.5849 0.3171  5 La 3.69-3.82, 5 Nd 3.74-3.79, 2 Ac 3.80-3.83
Nd: 0.4121 0.6785 0.1345  2 Nd 3.68-3.76, 8 La 3.70-3.81, 2 Ac 3.80-3.81
Nd: 0.5000 0.5000 0.5000  2 Ac 3.74, 8 La 3.74-3.79, 2 Nd 3.76
Nd: 0.5879 0.3215 0.8655  2 Nd 3.68-3.76, 8 La 3.70-3.81, 2 Ac 3.80-3.81

**D(E_F)**: 22.77 states/eV per cell
**Energy relative to the elements**: 0.246 eV per formula unit
**Crystal system**: triclinic
**Symmetry**: No. 2
**Total magnetization**: 0.0 μB per cell


# 3
Computed, not measured: a relaxed AcLa6Nd8 crystal at the PBE level of DFT.

Unit cell a=8.6089 b=8.6089 c=8.6089 alpha=71.68 beta=71.68 gamma=71.68
Last column: nearest neighbours and their distance in Å.
Positions (direct):
Ac: 0.0000 0.0000 0.0000  6 Nd 3.32
La: 0.1663 0.4255 0.6220  6 Nd 3.52-3.93, 1 La 3.75
La: 0.3780 0.8337 0.5745  6 Nd 3.52-3.93, 1 La 3.75
La: 0.4255 0.6220 0.1663  6 Nd 3.52-3.93, 1 La 3.75
La: 0.5745 0.3780 0.8337  6 Nd 3.52-3.93, 1 La 3.75
La: 0.6220 0.1663 0.4255  6 Nd 3.52-3.93, 1 La 3.75
La: 0.8337 0.5745 0.3780  6 Nd 3.52-3.93, 1 La 3.75
Nd: 0.0577 0.8564 0.3891  3 Nd 3.31-3.62, 1 Ac 3.32, 4 La 3.52-3.60
Nd: 0.1436 0.6109 0.9423  3 Nd 3.31-3.62, 1 Ac 3.32, 4 La 3.52-3.60
Nd: 0.2270 0.2270 0.2270  6 Nd 3.46-3.62
Nd: 0.3891 0.0577 0.8564  3 Nd 3.31-3.62, 1 Ac 3.32, 4 La 3.52-3.60
Nd: 0.6109 0.9423 0.1436  3 Nd 3.31-3.62, 1 Ac 3.32, 4 La 3.52-3.60
Nd: 0.7730 0.7730 0.7730  6 Nd 3.46-3.62
Nd: 0.8564 0.3891 0.0577  3 Nd 3.31-3.62, 1 Ac 3.32, 4 La 3.52-3.60
Nd: 0.9423 0.1436 0.6109  3 Nd 3.31-3.62, 1 Ac 3.32, 4 La 3.52-3.60

**D(E_F)**: 21.61 states/eV per cell
**Energy relative to the elements**: 2.289 eV per formula unit
**Crystal system**: trigonal
**Symmetry**: No. 148
**Relative energy among the computed polymorphs**: 20 meV/atom
**Total magnetization**: 0.0 μB per cell


# 4
Computed, not measured: a relaxed Ac5La2Nd3 crystal at the PBE level of DFT.

Unit cell a=10.8709 b=10.8709 c=9.5918 alpha=109.57 beta=109.57 gamma=114.09
Last column: nearest neighbours and their distance in Å.
Positions (direct):
Ac: 0.0219 0.9781 0.7500  1 Ac 3.61, 4 La 3.63-3.92, 2 Nd 3.90
Ac: 0.1159 0.3837 0.7500  4 Nd 3.66-4.09, 2 La 3.70-3.75, 3 Ac 3.99-4.10
Ac: 0.2195 0.7805 0.7500  4 Nd 3.55-3.78, 1 Ac 3.61, 2 La 3.69
Ac: 0.3837 0.1159 0.2500  4 Nd 3.66-4.09, 2 La 3.70-3.75, 3 Ac 3.99-4.10
Ac: 0.4719 0.5281 0.2500  5 Nd 3.50-3.79, 2 La 3.82
Ac: 0.5281 0.4719 0.7500  5 Nd 3.50-3.79, 2 La 3.82
Ac: 0.6163 0.8841 0.7500  4 Nd 3.66-4.09, 2 La 3.70-3.75, 3 Ac 3.99-4.10
Ac: 0.7805 0.2195 0.2500  4 Nd 3.55-3.78, 1 Ac 3.61, 2 La 3.69
Ac: 0.8841 0.6163 0.2500  4 Nd 3.66-4.09, 2 La 3.70-3.75, 3 Ac 3.99-4.10
Ac: 0.9781 0.0219 0.2500  1 Ac 3.61, 4 La 3.63-3.92, 2 Nd 3.90
La: 0.0190 0.2860 0.0501  1 Nd 3.10
La: 0.2860 0.0190 0.5501  1 Nd 3.10
La: 0.7140 0.9810 0.4499  1 Nd 3.10
La: 0.9810 0.7140 0.9499  1 Nd 3.10
Nd: 0.2298 0.4853 0.4598  1 La 3.10
Nd: 0.2799 0.7201 0.2500  4 La 3.50-3.66, 1 Ac 3.50, 2 Nd 3.73
Nd: 0.4853 0.2298 0.9598  1 La 3.10
Nd: 0.5147 0.7702 0.0402  1 La 3.10
Nd: 0.7201 0.2799 0.7500  4 La 3.50-3.66, 1 Ac 3.50, 2 Nd 3.73
Nd: 0.7702 0.5147 0.5402  1 La 3.10

**D(E_F)**: 37.32 states/eV per cell
**Energy relative to the elements**: 1.499 eV per formula unit
**Crystal system**: monoclinic
**Symmetry**: No. 15
**Total magnetization**: 0.0 μB per cell


# 5
Computed, not measured: a relaxed Ac2LaNd crystal at the PBE level of DFT.

Unit cell a=12.6610 b=12.6610 c=12.6610 alpha=17.63 beta=17.63 gamma=17.63
Last column: nearest neighbours and their distance in Å.
Positions (direct):
Ac: 0.0000 0.0000 0.0000  3 Nd 3.83, 6 Ac 3.88, 3 La 3.88
Ac: 0.1684 0.1684 0.1684  3 Nd 3.79, 3 La 3.84, 6 Ac 3.88
La: 0.7516 0.7516 0.7516  6 Ac 3.84-3.88, 6 La 3.88
Nd: 0.5836 0.5836 0.5836  6 Ac 3.79-3.83, 6 Nd 3.88

**D(E_F)**: 6.81 states/eV per cell
**Energy relative to the elements**: 0.113 eV per formula unit
**Crystal system**: trigonal
**Symmetry**: No. 160
**Relative energy among the computed polymorphs**: 11 meV/atom
**Total magnetization**: 0.0 μB per cell


# 6
Computed, not measured: a relaxed Ac4LaNd crystal at the PBE level of DFT.

Unit cell a=12.9377 b=12.9377 c=12.9377 alpha=151.51 beta=41.51 gamma=150.46
Last column: nearest neighbours and their distance in Å.
Positions (direct):
Ac: 0.1073 0.4374 0.6699  4 La 3.72-3.93, 7 Ac 3.81-4.05, 1 Nd 4.13
Ac: 0.1232 0.0415 0.0817  3 Nd 3.61-3.76, 5 Ac 3.81-4.05
Ac: 0.2675 0.4374 0.8301  4 La 3.72-3.93, 7 Ac 3.81-4.05, 1 Nd 4.13
Ac: 0.4597 0.0415 0.4183  3 Nd 3.61-3.76, 5 Ac 3.81-4.05
Ac: 0.5403 0.9585 0.5817  3 Nd 3.61-3.76, 5 Ac 3.81-4.05
Ac: 0.7325 0.5626 0.1699  4 La 3.72-3.93, 7 Ac 3.81-4.05, 1 Nd 4.13
Ac: 0.8768 0.9585 0.9183  3 Nd 3.61-3.76, 5 Ac 3.81-4.05
Ac: 0.8927 0.5626 0.3301  4 La 3.72-3.93, 7 Ac 3.81-4.05, 1 Nd 4.13
La: 0.3305 0.0805 0.2500  10 Ac 3.72-4.08, 2 La 3.89
La: 0.6695 0.9195 0.7500  10 Ac 3.72-4.08, 2 La 3.89
Nd: 0.0000 0.5000 0.5000  6 Ac 3.61-3.76
Nd: 0.5000 0.5000 0.0000  6 Ac 3.61-3.76

**D(E_F)**: 20.74 states/eV per cell
**Energy relative to the elements**: 0.446 eV per formula unit
**Crystal system**: orthorhombic
**Symmetry**: No. 74
**Relative energy among the computed polymorphs**: 0 meV/atom
**Total magnetization**: 0.0 μB per cell


# 7
Computed, not measured: a relaxed AcLa6Nd3 crystal at the PBE level of DFT.

Unit cell a=7.2518 b=7.2518 c=7.2518 alpha=90.16 beta=90.16 gamma=90.16
Last column: nearest neighbours and their distance in Å.
Positions (direct):
Ac: 0.0000 0.0000 0.0000  2 Nd 3.22-3.25, 3 La 3.43
La: 0.0006 0.3387 0.6700  1 Ac 3.43, 2 Nd 3.52-3.57
La: 0.1806 0.8273 0.5006  3 Nd 3.32-3.68
La: 0.3387 0.6700 0.0006  1 Ac 3.43, 2 Nd 3.52-3.57
La: 0.5006 0.1806 0.8273  3 Nd 3.32-3.68
La: 0.6700 0.0006 0.3387  1 Ac 3.43, 2 Nd 3.52-3.57
La: 0.8273 0.5006 0.1806  3 Nd 3.32-3.68
Nd: 0.2593 0.2593 0.2593  1 Nd 3.01, 1 Ac 3.25
Nd: 0.4998 0.4998 0.4998  2 Nd 3.01-3.05, 3 La 3.32
Nd: 0.7432 0.7432 0.7432  1 Nd 3.05, 1 Ac 3.22

**D(E_F)**: 19.54 states/eV per cell
**Energy relative to the elements**: 2.138 eV per formula unit
**Crystal system**: trigonal
**Symmetry**: No. 146
**Relative energy among the computed polymorphs**: 47 meV/atom
**Total magnetization**: 0.0 μB per cell


# 8
Computed, not measured: a relaxed Ac5La6Nd2 crystal at the PBE level of DFT.

Unit cell a=12.2082 b=22.3666 c=3.8336 alpha=90.00 beta=90.00 gamma=90.00
Last column: nearest neighbours and their distance in Å.
Positions (direct):
Ac: 0.0000 0.0000 0.0000  6 La 3.66-3.83, 2 Ac 3.83
Ac: 0.0516 0.2911 0.0000  5 La 3.66-3.82, 4 Nd 3.73-3.75, 2 Ac 3.83
Ac: 0.1934 0.5781 0.0000  4 Ac 3.83-4.18, 6 La 3.89-3.92, 2 Nd 3.96
Ac: 0.3066 0.0781 0.0000  4 Ac 3.83-4.18, 6 La 3.89-3.92, 2 Nd 3.96
Ac: 0.4484 0.7911 0.0000  5 La 3.66-3.82, 4 Nd 3.73-3.75, 2 Ac 3.83
Ac: 0.5000 0.5000 0.0000  6 La 3.66-3.83, 2 Ac 3.83
Ac: 0.5516 0.2089 0.0000  5 La 3.66-3.82, 4 Nd 3.73-3.75, 2 Ac 3.83
Ac: 0.6934 0.9219 0.0000  4 Ac 3.83-4.18, 6 La 3.89-3.92, 2 Nd 3.96
Ac: 0.8066 0.4219 0.0000  4 Ac 3.83-4.18, 6 La 3.89-3.92, 2 Nd 3.96
Ac: 0.9484 0.7089 0.0000  5 La 3.66-3.82, 4 Nd 3.73-3.75, 2 Ac 3.83
La: 0.0559 0.1449 0.5000  1 Nd 3.50, 4 La 3.58-3.83, 6 Ac 3.79-3.91
La: 0.0824 0.4378 0.5000  5 La 3.43-3.83, 2 Ac 3.82
La: 0.1892 0.8729 0.0000  6 La 3.58-3.83, 2 Ac 3.66, 2 Nd 3.68
La: 0.3108 0.3729 0.0000  6 La 3.58-3.83, 2 Ac 3.66, 2 Nd 3.68
La: 0.4176 0.9378 0.5000  5 La 3.43-3.83, 2 Ac 3.82
La: 0.4441 0.6449 0.5000  1 Nd 3.50, 4 La 3.58-3.83, 6 Ac 3.79-3.91
La: 0.5559 0.3551 0.5000  1 Nd 3.50, 4 La 3.58-3.83, 6 Ac 3.79-3.91
La: 0.5824 0.0622 0.5000  5 La 3.43-3.83, 2 Ac 3.82
La: 0.6892 0.6271 0.0000  6 La 3.58-3.83, 2 Ac 3.66, 2 Nd 3.68
La: 0.8108 0.1271 0.0000  6 La 3.58-3.83, 2 Ac 3.66, 2 Nd 3.68
La: 0.9176 0.5622 0.5000  5 La 3.43-3.83, 2 Ac 3.82
La: 0.9441 0.8551 0.5000  1 Nd 3.50, 4 La 3.58-3.83, 6 Ac 3.79-3.91
Nd: 0.2066 0.7328 0.5000  3 La 3.50-3.68, 4 Ac 3.73-3.75, 2 Nd 3.83
Nd: 0.2934 0.2328 0.5000  3 La 3.50-3.68, 4 Ac 3.73-3.75, 2 Nd 3.83
Nd: 0.7066 0.7672 0.5000  3 La 3.50-3.68, 4 Ac 3.73-3.75, 2 Nd 3.83
Nd: 0.7934 0.2672 0.5000  3 La 3.50-3.68, 4 Ac 3.73-3.75, 2 Nd 3.83

**D(E_F)**: 34.54 states/eV per cell
**Energy relative to the elements**: 1.024 eV per formula unit
**Crystal system**: orthorhombic
**Symmetry**: No. 55
**Total magnetization**: 0.0 μB per cell


# 9
Computed, not measured: a relaxed Ac2LaNd6 crystal at the PBE level of DFT.

Unit cell a=10.2447 b=10.2447 c=3.7060 alpha=90.06 beta=90.06 gamma=59.85
Last column: nearest neighbours and their distance in Å.
Positions (direct):
Ac: 0.1667 0.1667 0.0000  2 Ac 3.71, 12 Nd 3.88-3.90
Ac: 0.8333 0.8333 0.0000  2 Ac 3.71, 12 Nd 3.88-3.90
La: 0.5000 0.5000 0.0000  2 La 3.71, 12 Nd 3.86-3.87
Nd: 0.1682 0.5005 0.5003  5 Nd 3.39-3.71
Nd: 0.1691 0.8309 0.5000  5 Nd 3.39-3.71
Nd: 0.4995 0.8318 0.4997  5 Nd 3.39-3.71
Nd: 0.5005 0.1682 0.5003  5 Nd 3.39-3.71
Nd: 0.8309 0.1691 0.5000  5 Nd 3.39-3.71
Nd: 0.8318 0.4995 0.4997  5 Nd 3.39-3.71

**D(E_F)**: 13.59 states/eV per cell
**Energy relative to the elements**: 0.390 eV per formula unit
**Crystal system**: monoclinic
**Symmetry**: No. 12
**Relative energy among the computed polymorphs**: 0 meV/atom
**Total magnetization**: 0.0 μB per cell


# 10
Computed, not measured: a relaxed Ac4LaNd6 crystal at the PBE level of DFT.

Unit cell a=9.8824 b=9.8824 c=9.8824 alpha=137.14 beta=137.14 gamma=62.23
Last column: nearest neighbours and their distance in Å.
Positions (direct):
Ac: 0.1250 0.1250 0.6110  1 La 3.64, 5 Nd 3.65-4.02, 1 Ac 3.97
Ac: 0.4860 0.8750 0.0000  1 La 3.64, 5 Nd 3.65-4.02, 1 Ac 3.97
Ac: 0.5140 0.5140 0.3890  1 La 3.64, 5 Nd 3.65-4.02, 1 Ac 3.97
Ac: 0.8750 0.4860 0.0000  1 La 3.64, 5 Nd 3.65-4.02, 1 Ac 3.97
La: 0.5000 0.5000 0.0000  8 Nd 3.61-3.82, 4 Ac 3.64
Nd: 0.0000 0.5000 0.5000  4 Nd 3.21
Nd: 0.0643 0.7275 0.0000  3 Nd 3.21-3.44
Nd: 0.2725 0.2725 0.3369  3 Nd 3.21-3.44
Nd: 0.5000 0.0000 0.5000  4 Nd 3.21
Nd: 0.7275 0.0643 0.0000  3 Nd 3.21-3.44
Nd: 0.9357 0.9357 0.6631  3 Nd 3.21-3.44

**D(E_F)**: 17.02 states/eV per cell
**Energy relative to the elements**: 2.740 eV per formula unit
**Crystal system**: tetragonal
**Symmetry**: No. 121
**Total magnetization**: 0.0 μB per cell


# 11
Computed, not measured: a relaxed Ac2LaNd crystal at the PBE level of DFT.

Unit cell a=3.8728 b=3.8728 c=10.7603 alpha=90.00 beta=90.00 gamma=90.00
Last column: nearest neighbours and their distance in Å.
Positions (direct):
Ac: 0.0000 0.0000 0.2469  4 Nd 3.82, 4 La 3.86, 4 Ac 3.87
Ac: 0.0000 0.0000 0.7531  4 Nd 3.82, 4 La 3.86, 4 Ac 3.87
La: 0.5000 0.5000 0.5000  8 Ac 3.86, 4 La 3.87
Nd: 0.5000 0.5000 0.0000  8 Ac 3.82, 4 Nd 3.87

**D(E_F)**: 7.13 states/eV per cell
**Energy relative to the elements**: 0.089 eV per formula unit
**Crystal system**: tetragonal
**Symmetry**: No. 123
**Relative energy among the computed polymorphs**: 5 meV/atom
**Total magnetization**: 0.0 μB per cell


# 12
Computed, not measured: a relaxed Ac5LaNd6 crystal at the PBE level of DFT.

Unit cell a=10.1135 b=10.1135 c=10.1135 alpha=148.71 beta=117.01 gamma=72.01
Last column: nearest neighbours and their distance in Å.
Positions (direct):
Ac: 0.0000 0.0000 0.0000  8 Nd 3.80-3.82, 4 Ac 3.86
Ac: 0.1668 0.6668 0.5000  8 Nd 3.79-3.82, 4 Ac 3.86-3.88
Ac: 0.3356 0.3356 0.0000  8 Nd 3.75-3.84, 2 La 3.83, 2 Ac 3.88
Ac: 0.6644 0.6644 0.0000  8 Nd 3.75-3.84, 2 La 3.83, 2 Ac 3.88
Ac: 0.8332 0.3332 0.5000  8 Nd 3.79-3.82, 4 Ac 3.86-3.88
La: 0.5000 0.0000 0.5000  8 Nd 3.78, 4 Ac 3.83
Nd: 0.0857 0.8342 0.2515  1 La 3.78, 7 Ac 3.79-3.84, 4 Nd 3.85-3.88
Nd: 0.2525 0.5000 0.7525  6 Ac 3.75-3.82, 2 La 3.78, 4 Nd 3.85
Nd: 0.4173 0.1658 0.2515  1 La 3.78, 7 Ac 3.79-3.84, 4 Nd 3.85-3.88
Nd: 0.5827 0.8342 0.7485  1 La 3.78, 7 Ac 3.79-3.84, 4 Nd 3.85-3.88
Nd: 0.7475 0.5000 0.2475  6 Ac 3.75-3.82, 2 La 3.78, 4 Nd 3.85
Nd: 0.9143 0.1658 0.7485  1 La 3.78, 7 Ac 3.79-3.84, 4 Nd 3.85-3.88

**D(E_F)**: 21.06 states/eV per cell
**Energy relative to the elements**: 0.326 eV per formula unit
**Crystal system**: orthorhombic
**Symmetry**: No. 71
**Total magnetization**: 0.0 μB per cell